Entry 1:
DFT (PBE-GGA) results for an optimized crystal structure of La2TaMo.

Properties
* magnetization: 0.00 μB/cell
* DFT total energy: -7.902 eV per atom

a = 3.407 Å, b = 3.407 Å, c = 8.864 Å
α = 90.00°, β = 90.00°, γ = 90.00°
Element x y z (fractional)
Mo: 0.000 0.000 0.546
La: 0.500 0.500 0.311
La: 0.000 0.000 0.950
Ta: 0.500 0.500 0.693

Entry 2:
DFT (PBE-GGA) results for an optimized crystal structure of CaMg2Hg.

Properties
* magnetization: 0.00 μB/cell
* DFT total energy: -1.555 eV per atom

a = 4.995 Å, b = 3.586 Å, c = 5.983 Å
α = 77.89°, β = 90.00°, γ = 90.00°
Element x y z (fractional)
Ca: 0.500 0.250 0.250
Mg: 0.000 0.883 0.978
Mg: 0.000 0.617 0.522
Hg: 0.500 0.750 0.750

Entry 3:
DFT (PBE-GGA) results for an optimized crystal structure of CsUBe2F8.

Properties
* magnetization: 3.00 μB/cell
* raw formation energy: -3.244 eV/atom

a = 5.334 Å, b = 5.334 Å, c = 9.139 Å
α = 73.03°, β = 73.03°, γ = 60.00°
Element x y z (fractional)
Be: 0.754 0.754 0.737
Be: 0.246 0.246 0.263
F: 0.748 0.519 0.665
F: 0.481 0.252 0.335
F: 0.697 0.697 0.910
F: 0.252 0.932 0.335
F: 0.519 0.068 0.665
F: 0.068 0.748 0.665
F: 0.932 0.481 0.335
F: 0.303 0.303 0.090
Cs: 0.000 0.000 0.000
U: 0.500 0.500 0.500

Entry 4:
DFT (PBE-GGA) results for an optimized crystal structure of Al2SbCl.

Properties
* magnetization: 0.00 μB/cell
* raw formation energy: 0.110 eV/atom

a = 4.959 Å, b = 4.959 Å, c = 4.959 Å
α = 120.06°, β = 120.06°, γ = 89.89°
Element x y z (fractional)
Sb: 0.750 0.250 0.500
Cl: 0.500 0.500 0.000
Al: 0.250 0.750 0.500
Al: 0.000 0.000 0.000